## P
VASP calculation (PBE-GGA) on crystalline BPdPt3 at its relaxed geometry.

Calculated values
V = 71.66 Å³ per cell
Space group = No. 8

Structure (POSCAR):
```
BPdPt3
1.0
2.719 0.004 -0.695
-0.704 4.734 -2.733
-0.021 0.004 5.569
B Pd Pt
1 1 3
direct
0.703 0.279 0.173 B
0.579 0.636 0.886 Pd
0.296 0.626 0.356 Pt
0.022 0.100 0.815 Pt
0.296 0.115 0.356 Pt
```


## Q
VASP calculation (PBE-GGA) on crystalline BPdPt3 at its relaxed geometry.

Calculated values
V = 114.39 Å³ per cell
Space group = No. 221

Structure (POSCAR):
```
BPdPt3
1.0
-2.546 3.527 -2.155
-2.811 -3.333 -2.134
-3.030 0.128 3.790
B Pd Pt
1 1 3
direct
0.500 0.500 0.500 B
0.000 0.000 0.000 Pd
0.000 0.500 0.000 Pt
0.000 0.000 0.500 Pt
0.500 0.000 0.000 Pt
```


## R
VASP calculation (PBE-GGA) on crystalline BPdPt3 at its relaxed geometry.

Calculated values
V = 73.62 Å³ per cell
Space group = No. 221

Structure (POSCAR):
```
BPdPt3
1.0
4.191 0.000 0.000
0.000 4.191 0.000
0.000 0.000 4.191
B Pd Pt
1 1 3
direct
0.000 0.000 0.000 B
0.500 0.500 0.500 Pd
0.000 0.500 0.000 Pt
0.000 0.000 0.500 Pt
0.500 0.000 0.000 Pt
```


Stability check: which of them is least stable? Q.


## P
VASP calculation (PBE-GGA) on crystalline B2PdPt at its relaxed geometry.

Calculated values
V = 110.64 Å³ per cell
Space group = No. 122

Structure (POSCAR):
```
B2PdPt
1.0
4.799 0.000 0.000
0.000 4.799 0.000
2.400 2.400 4.804
B Pd Pt
4 2 2
direct
0.634 0.125 0.250 B
0.116 0.625 0.250 B
0.375 0.366 0.750 B
0.875 0.884 0.750 B
0.500 0.500 0.000 Pd
0.250 0.750 0.500 Pd
0.000 0.000 0.000 Pt
0.750 0.250 0.500 Pt
```


## Q
VASP calculation (PBE-GGA) on crystalline B2PdPt at its relaxed geometry.

Calculated values
V = 43.77 Å³ per cell
Space group = No. 225

Structure (POSCAR):
```
B2PdPt
1.0
0.000 2.797 2.797
2.797 0.000 2.797
2.797 2.797 0.000
B Pd Pt
2 1 1
direct
0.250 0.250 0.250 B
0.750 0.750 0.750 B
0.000 0.000 0.000 Pd
0.500 0.500 0.500 Pt
```


## R
VASP calculation (PBE-GGA) on crystalline B2PdPt at its relaxed geometry.

Calculated values
V = 53.32 Å³ per cell
Space group = No. 166

Structure (POSCAR):
```
B2PdPt
1.0
-1.469 3.103 1.361
-3.255 1.209 -1.259
-3.695 -0.961 3.215
B Pd Pt
2 1 1
direct
0.159 0.159 0.523 B
0.841 0.841 0.477 B
0.000 0.000 0.000 Pd
0.500 0.500 0.500 Pt
```


Stability check: which of them is least stable? Q.


## P
VASP calculation (PBE-GGA) on crystalline B3PdPt at its relaxed geometry.

Calculated values
V = 68.91 Å³ per cell
Space group = No. 221

Structure (POSCAR):
```
B3PdPt
1.0
-1.829 3.643 -0.442
-2.892 -1.735 -2.332
-2.259 -0.728 3.343
B Pd Pt
3 1 1
direct
0.000 0.500 0.000 B
0.000 0.000 0.500 B
0.500 0.000 0.000 B
0.500 0.500 0.500 Pd
0.000 0.000 0.000 Pt
```


## Q
VASP calculation (PBE-GGA) on crystalline B3PdPt at its relaxed geometry.

Calculated values
V = 66.25 Å³ per cell
Space group = No. 221

Structure (POSCAR):
```
B3PdPt
1.0
-0.881 -3.642 -1.526
3.918 -1.004 0.135
-0.500 -1.448 3.745
B Pd Pt
3 1 1
direct
0.000 0.500 0.000 B
0.000 0.000 0.500 B
0.500 0.000 0.000 B
0.000 0.000 0.000 Pd
0.500 0.500 0.500 Pt
```


Stability check: which of them is least stable? Q.


## P
VASP calculation (PBE-GGA) on crystalline B2PdPt2 at its relaxed geometry.

Calculated values
V = 124.73 Å³ per cell
Space group = No. 9

Structure (POSCAR):
```
B2PdPt2
1.0
-5.108 1.717 2.317
2.595 -4.889 1.943
4.612 2.705 0.684
B Pd Pt
4 2 4
direct
0.688 0.337 0.544 B
0.706 0.856 0.044 B
0.307 0.157 0.956 B
0.299 0.648 0.456 B
0.172 0.746 0.751 Pd
0.505 0.579 0.251 Pd
0.180 0.925 0.252 Pt
0.828 0.072 0.752 Pt
0.499 0.432 0.747 Pt
0.816 0.249 0.247 Pt
```


## Q
VASP calculation (PBE-GGA) on crystalline B2PdPt2 at its relaxed geometry.

Calculated values
V = 63.10 Å³ per cell
Space group = No. 139

Structure (POSCAR):
```
B2PdPt2
1.0
3.100 0.000 0.000
0.000 3.100 0.000
1.550 1.550 6.566
B Pd Pt
2 1 2
direct
0.750 0.250 0.500 B
0.250 0.750 0.500 B
0.000 0.000 0.000 Pd
0.361 0.361 0.278 Pt
0.639 0.639 0.722 Pt
```


## R
VASP calculation (PBE-GGA) on crystalline B2PdPt2 at its relaxed geometry.

Calculated values
V = 117.08 Å³ per cell
Space group = No. 127

Structure (POSCAR):
```
B2PdPt2
1.0
6.517 0.000 0.000
0.000 6.517 0.000
0.000 0.000 2.757
B Pd Pt
4 2 4
direct
0.352 0.852 0.000 B
0.852 0.648 0.000 B
0.648 0.148 0.000 B
0.148 0.352 0.000 B
0.000 0.000 0.000 Pd
0.500 0.500 0.000 Pd
0.147 0.647 0.500 Pt
0.647 0.853 0.500 Pt
0.853 0.353 0.500 Pt
0.353 0.147 0.500 Pt
```


Stability check: which of them is least stable? R.